1.
# CdMoW2S, optimized geometry, DFT PBE
data_CdMoW2S
_chemical_formula_sum 'Cd1 Mo1 W2 S1'
_cell_length_a 4.726
_cell_length_b 5.263
_cell_length_c 4.726
_cell_angle_alpha 90.00
_cell_angle_beta 90.00
_cell_angle_gamma 90.00
_symmetry_space_group_name_H-M 'P 1'
_symmetry_Int_Tables_number 1
_symmetry_space_group_name_Hall 'P 1'
loop_
_atom_site_label
_atom_site_type_symbol
_atom_site_fract_x
_atom_site_fract_y
_atom_site_fract_z
Mo1 Mo 0.000 0.000 0.000
S1 S 0.500 0.500 0.500
W1 W 0.000 0.000 0.500
W2 W 0.500 0.000 0.000
Cd1 Cd 0.000 0.500 0.000
# **Energy relative to the elements, uncorrected**: 2031 meV/atom
# **Space-group type**: P4/mmm, No. 123

***

2.
# Tb4ErIn, optimized geometry, DFT PBE
data_Tb4ErIn
_chemical_formula_sum 'Tb4 Er1 In1'
_cell_length_a 3.563
_cell_length_b 3.563
_cell_length_c 14.328
_cell_angle_alpha 90.00
_cell_angle_beta 90.00
_cell_angle_gamma 90.00
_symmetry_space_group_name_H-M 'P 1'
_symmetry_Int_Tables_number 1
_symmetry_space_group_name_Hall 'P 1'
loop_
_atom_site_label
_atom_site_type_symbol
_atom_site_fract_x
_atom_site_fract_y
_atom_site_fract_z
Tb1 Tb 0.500 0.500 0.174
Tb2 Tb 0.000 0.000 0.648
Tb3 Tb 0.000 0.000 0.352
Tb4 Tb 0.500 0.500 0.826
Er1 Er 0.000 0.000 0.000
In1 In 0.500 0.500 0.500
# **E above lowest polymorph**: 0.000 eV per formula unit
# **Space-group type**: P4/mmm, No. 123

***

| no. | calculated density (g/cm³) |
| --- | --- |
| 1 | 8.6 |
| 2 | 8.4 |